Density functional theory data (PBE-GGA) for CsKNiBr6 after structural relaxation.

Summary:
DFT total energy, hartree per atom: -0.10306
Energy relative to the elements, uncorrected, meV/atom: -830
Calculated volume, Å³/cell: 380.5

a = 7.814 Å, b = 7.814 Å, c = 7.202 Å
α = 90.02°, β = 90.02°, γ = 120.08°
Atoms (fractional coordinates):
Cs  0.000  0.000  0.000
K  0.666  0.334  0.500
Ni  0.333  0.667  0.500
Br  0.080  0.416  0.305
Br  0.081  0.664  0.697
Br  0.336  0.417  0.696
Br  0.336  0.919  0.303
Br  0.583  0.664  0.304
Br  0.584  0.920  0.695

Density functional theory data (PBE-GGA) for CsP2H2 after structural relaxation.

Summary:
DFT total energy, hartree per atom: -0.13973
ΔE to the lowest computed polymorph, meV/atom: 110
Calculated volume, Å³/cell: 130.7
Fermi-level density of states, states/eV/cell: 0.92

a = 4.635 Å, b = 5.390 Å, c = 5.282 Å
α = 90.00°, β = 98.06°, γ = 90.00°
Atoms (fractional coordinates):
Cs  0.000  0.000  0.000
P  0.506  0.500  0.694
P  0.570  0.500  0.297
H  0.192  0.500  0.664
H  0.270  0.500  0.184

Density functional theory data (PBE-GGA) for Dy5Tl2Ni2 after structural relaxation.

Summary:
DFT total energy, hartree per atom: -0.17256
Formation enthalpy at 0 K, meV per atom: -328.3
Calculated volume, Å³/cell: 456.6
Fermi-level density of states, states/eV/cell: 15.24

a = 9.007 Å, b = 9.007 Å, c = 7.121 Å
α = 90.00°, β = 90.00°, γ = 52.22°
Atoms (fractional coordinates):
Dy  0.000  0.000  0.000
Dy  0.064  0.706  0.660
Dy  0.206  0.564  0.160
Dy  0.294  0.936  0.660
Dy  0.436  0.794  0.160
Dy  0.500  0.500  0.500
Dy  0.564  0.206  0.840
Dy  0.706  0.064  0.340
Dy  0.794  0.436  0.840
Dy  0.936  0.294  0.340
Tl  0.222  0.222  0.000
Tl  0.278  0.278  0.500
Tl  0.722  0.722  0.500
Tl  0.778  0.778  0.000
Ni  0.120  0.880  0.376
Ni  0.380  0.620  0.876
Ni  0.620  0.380  0.124
Ni  0.880  0.120  0.624

Density functional theory data (PBE-GGA) for Cr3Tc after structural relaxation.

Summary:
DFT total energy, hartree per atom: -0.35924
Formation enthalpy at 0 K, meV per atom: 33.6
Calculated volume, Å³/cell: 49.7
Fermi-level density of states, states/eV/cell: 3.91

a = 4.834 Å, b = 4.834 Å, c = 4.834 Å
α = 144.83°, β = 129.47°, γ = 63.05°
Atoms (fractional coordinates):
Cr  0.000  0.000  0.000
Cr  0.244  0.744  0.500
Cr  0.756  0.256  0.500
Tc  0.500  0.500  0.000

Density functional theory data (PBE-GGA) for Li2AgBiH after structural relaxation.

Summary:
DFT total energy, hartree per atom: -0.10579
ΔE to the lowest computed polymorph, meV/atom: 153
Calculated volume, Å³/cell: 83.7
Fermi-level density of states, states/eV/cell: 1.79

a = 4.341 Å, b = 4.341 Å, c = 4.444 Å
α = 90.00°, β = 90.00°, γ = 90.00°
Atoms (fractional coordinates):
Li  0.000  0.500  0.000
Li  0.500  0.000  0.000
Ag  0.000  0.000  0.500
Bi  0.500  0.500  0.500
H  0.500  0.500  0.000

Density functional theory data (PBE-GGA) for Ca3Ge7Os2 after structural relaxation.

Summary:
DFT total energy, hartree per atom: -0.19313
Formation enthalpy at 0 K, meV per atom: -189.9
Calculated volume, Å³/cell: 259.9
Fermi-level density of states, states/eV/cell: 4.30

a = 5.002 Å, b = 4.317 Å, c = 12.124 Å
α = 90.00°, β = 96.87°, γ = 90.00°
Atoms (fractional coordinates):
Ca  0.000  0.000  0.000
Ca  0.277  0.000  0.614
Ca  0.723  0.000  0.386
Ge  0.125  0.500  0.785
Ge  0.200  0.000  0.246
Ge  0.231  0.500  0.398
Ge  0.500  0.500  0.000
Ge  0.769  0.500  0.602
Ge  0.800  0.000  0.754
Ge  0.875  0.500  0.215
Os  0.379  0.500  0.180
Os  0.621  0.500  0.820

Density functional theory data (PBE-GGA) for CaHo2Se4 after structural relaxation.

Summary:
DFT total energy, hartree per atom: -0.20220
ΔE to the lowest computed polymorph, meV/atom: 0
Energy relative to the elements, uncorrected, meV/atom: -1917
Calculated volume, Å³/cell: 199.5

a = 7.026 Å, b = 4.126 Å, c = 7.226 Å
α = 90.00°, β = 107.75°, γ = 90.00°
Atoms (fractional coordinates):
Ca  0.000  0.000  0.000
Ho  0.000  0.500  0.500
Ho  0.500  0.000  0.500
Se  0.240  0.000  0.731
Se  0.259  0.500  0.259
Se  0.741  0.500  0.741
Se  0.760  0.000  0.269

Density functional theory data (PBE-GGA) for Dy2CdBi after structural relaxation.

Summary:
DFT total energy, hartree per atom: -0.14283
ΔE to the lowest computed polymorph, meV/atom: 96
Formation enthalpy at 0 K, meV per atom: -386.5
Calculated volume, Å³/cell: 123.2
Fermi-level density of states, states/eV/cell: 4.10

a = 8.050 Å, b = 8.050 Å, c = 8.050 Å
α = 31.06°, β = 31.06°, γ = 31.06°
Atoms (fractional coordinates):
Dy  0.247  0.247  0.247
Dy  0.753  0.753  0.753
Cd  0.000  0.000  0.000
Bi  0.500  0.500  0.500

Density functional theory data (PBE-GGA) for RbSnPS6 after structural relaxation.

Summary:
DFT total energy, hartree per atom: -0.14888
Energy relative to the elements, uncorrected, meV/atom: -146
Calculated volume, Å³/cell: 256.3
Fermi-level density of states, states/eV/cell: 7.85

a = 6.134 Å, b = 6.134 Å, c = 7.865 Å
α = 90.00°, β = 90.00°, γ = 120.00°
Atoms (fractional coordinates):
Rb  0.000  0.000  0.000
Sn  0.333  0.667  0.500
P  0.667  0.333  0.500
S  0.390  0.046  0.676
S  0.390  0.345  0.324
S  0.655  0.046  0.324
S  0.655  0.610  0.676
S  0.954  0.345  0.676
S  0.954  0.610  0.324

Density functional theory data (PBE-GGA) for Li2PuCrS4 after structural relaxation.

Summary:
DFT total energy, hartree per atom: -0.24830
Energy relative to the elements, uncorrected, meV/atom: -1220
Calculated volume, Å³/cell: 146.5
Fermi-level density of states, states/eV/cell: 7.37

a = 6.349 Å, b = 3.771 Å, c = 6.474 Å
α = 90.00°, β = 109.09°, γ = 90.00°
Atoms (fractional coordinates):
Li  0.000  0.000  0.000
Li  0.500  0.500  0.000
Pu  0.000  0.500  0.500
Cr  0.500  0.000  0.500
S  0.268  0.000  0.749
S  0.281  0.500  0.269
S  0.719  0.500  0.731
S  0.732  0.000  0.251

Density functional theory data (PBE-GGA) for CdH2Pt2 after structural relaxation.

Summary:
DFT total energy, hartree per atom: -0.14742
ΔE to the lowest computed polymorph, meV/atom: 0
Calculated volume, Å³/cell: 128.3
Fermi-level density of states, states/eV/cell: 1.02

a = 5.784 Å, b = 5.784 Å, c = 5.784 Å
α = 123.71°, β = 123.71°, γ = 83.69°
Atoms (fractional coordinates):
Cd  0.000  0.000  0.000
Cd  0.750  0.250  0.500
H  0.059  0.767  0.292
H  0.475  0.767  0.708
H  0.517  0.309  0.792
H  0.517  0.725  0.208
Pt  0.287  0.543  0.744
Pt  0.293  0.049  0.756
Pt  0.293  0.537  0.244
Pt  0.799  0.543  0.256

Density functional theory data (PBE-GGA) for V2NiRh4 after structural relaxation.

Summary:
DFT total energy, hartree per atom: -0.28334
ΔE to the lowest computed polymorph, meV/atom: 80
Formation enthalpy at 0 K, meV per atom: -78.1
Calculated volume, Å³/cell: 193.0
Fermi-level density of states, states/eV/cell: 18.52

a = 4.668 Å, b = 8.204 Å, c = 5.038 Å
α = 90.00°, β = 90.13°, γ = 90.00°
Atoms (fractional coordinates):
V  0.239  0.001  0.499
V  0.239  0.499  0.999
V  0.761  0.501  0.001
V  0.761  0.999  0.501
Ni  0.500  0.000  0.000
Ni  0.500  0.500  0.500
Rh  0.002  0.175  0.003
Rh  0.002  0.325  0.503
Rh  0.498  0.749  0.248
Rh  0.498  0.751  0.748
Rh  0.502  0.249  0.252
Rh  0.502  0.251  0.752
Rh  0.998  0.675  0.497
Rh  0.998  0.825  0.997